Entry 1:
Compound: Sr2MgTa2
Source: Alexandria
Functional: PBE
Structure: relaxed

The space group is I4/mmm (No. 139) and the conventional cell measures 4.5544, 4.5544 and 14.6581 Å, with angles of 90.00, 90.00 and 90.00 degrees. The distinct sites, in fractional coordinates, are Sr at (0.0000, 0.5000, 0.2500), Mg at (0.0000, 0.0000, 0.0000) and Ta at (0.0000, 0.0000, 0.4231).

The calculation puts the total magnetic moment at 0.0 μB/f.u. As for the total energy: -4.47 eV/atom. The density of states at the Fermi level comes out at 4.1 states/eV/cell.


Entry 2:
Compound: SrMg2Ta
Source: Alexandria
Functional: PBE
Structure: relaxed

The space group is P4/mmm (No. 123) and the conventional cell measures 5.4956, 5.4956 and 3.1754 Å, with angles of 90.00, 90.00 and 90.00 degrees. The distinct sites, in fractional coordinates, are Sr at (0.0000, 0.0000, 0.0000), Mg at (0.0000, 0.5000, 0.5000) and Ta at (0.5000, 0.5000, 0.0000).

The calculation puts the total magnetic moment at 0.0 μB/f.u. As for the total energy: -3.59 eV/atom. The density of states at the Fermi level comes out at 3.6 states/eV/cell. As for the energy above the lowest structure with this stoichiometry: 205 meV per atom.


Entry 3:
Compound: SrMgTa
Source: Alexandria
Functional: PBE
Structure: relaxed

The space group is F-43m (No. 216) and the conventional cell measures 7.5893, 7.5893 and 7.5893 Å, with angles of 90.00, 90.00 and 90.00 degrees. The distinct sites, in fractional coordinates, are Sr at (0.0000, 0.0000, 0.0000), Mg at (0.2500, 0.2500, 0.7500) and Ta at (0.2500, 0.2500, 0.2500).

The calculation puts the total magnetic moment at 4.2 μB/f.u. As for the total energy: -3.22 eV/atom. The density of states at the Fermi level comes out at 23.5 states/eV/cell. As for the energy above the lowest structure with this stoichiometry: 1179 meV per atom.


Entry 4:
Compound: SrMg2Ta
Source: Alexandria
Functional: PBE
Structure: relaxed

The space group is Cmmm (No. 65) and the conventional cell measures 6.9207, 9.1577 and 3.0364 Å, with angles of 90.00, 90.00 and 90.00 degrees. The distinct sites, in fractional coordinates, are Sr at (0.0000, 0.0000, 0.0000), Mg at (0.2500, 0.2500, 0.5000) and Ta at (0.0000, 0.5000, 0.0000).

The calculation puts the total magnetic moment at 0.0 μB/f.u. As for the total energy: -3.60 eV/atom. The density of states at the Fermi level comes out at 7.5 states/eV/cell. As for the energy above the lowest structure with this stoichiometry: 190 meV per atom.


For each record above, in turn, the calculated ρ values are 6.1; 5.5; 4.5; 5.5 g/cm3.